1.
{
  "formula": "Y7Sc",
  "functional": "GGA-PBEsol",
  "state": "optimized geometry",
  "sg": "Fm-3m, No. 225",
  "formation_energy_ev_per_atom": 0.036,
  "cell": [[-0.516, -3.370, -6.041], [0.296, -6.929, -0.142], [-5.697, -3.686, -1.439]],
  "species": ["Sc", "Y", "Y", "Y", "Y", "Y", "Y", "Y"],
  "frac_coords": [[0.000, 0.000, 0.000], [0.500, 0.500, 0.000], [0.000, 0.500, 0.000], [0.000, 0.500, 0.500], [0.000, 0.000, 0.500], [0.500, 0.000, 0.500], [0.500, 0.000, 0.000], [0.500, 0.500, 0.500]]
}

=====

2.
{
  "formula": "BeAg3",
  "functional": "GGA-PBEsol",
  "state": "optimized geometry",
  "sg": "Immm, No. 71",
  "formation_energy_ev_per_atom": 0.091,
  "cell": [[-2.815, 0.777, -0.510], [0.192, -1.925, -3.992], [-0.061, -3.235, 4.022]],
  "species": ["Be", "Ag", "Ag", "Ag"],
  "frac_coords": [[0.000, 0.500, 0.000], [0.713, 0.713, 0.425], [0.287, 0.287, 0.575], [0.500, 0.000, 0.000]]
}

=====

3.
{
  "formula": "Y4CrPt",
  "functional": "GGA-PBEsol",
  "state": "optimized geometry",
  "sg": "F-43m, No. 216",
  "formation_energy_ev_per_atom": 0.695,
  "cell": [[5.917, 0.000, 0.000], [2.958, 5.124, 0.000], [2.958, 1.708, 4.831]],
  "species": ["Cr", "Pt", "Y", "Y", "Y", "Y"],
  "frac_coords": [[0.750, 0.750, 0.750], [0.000, 0.000, 0.000], [0.374, 0.374, 0.374], [0.374, 0.374, 0.877], [0.877, 0.374, 0.374], [0.374, 0.877, 0.374]]
}

=====

4.
{
  "formula": "SrPt2Cl",
  "functional": "GGA-PBEsol",
  "state": "optimized geometry",
  "relative_energy_ev_per_fu": 0.74,
  "formation_energy_uncorrected_mev_per_atom": -195,
  "sg": "Pmmm, No. 47",
  "cell": [[3.015, 0.000, 0.000], [0.000, 4.922, 0.000], [0.000, 0.000, 5.352]],
  "species": ["Sr", "Pt", "Pt", "Cl"],
  "frac_coords": [[0.500, 0.500, 0.000], [0.000, 0.000, 0.751], [0.000, 0.000, 0.249], [0.500, 0.500, 0.500]]
}

=====

5.
{
  "formula": "Li2ScCd",
  "functional": "GGA-PBEsol",
  "state": "optimized geometry",
  "relative_energy_ev_per_fu": 0.00,
  "sg": "P4mm, No. 99",
  "formation_energy_ev_per_atom": -0.085,
  "cell": [[-2.591, 1.365, 1.508], [-1.314, -2.987, 0.447], [3.414, -0.550, 6.366]],
  "species": ["Sc", "Cd", "Li", "Li"],
  "frac_coords": [[0.000, 0.000, 0.513], [0.500, 0.500, 0.774], [0.000, 0.000, 0.994], [0.500, 0.500, 0.219]]
}

=====

6.
{
  "formula": "Li2CuH4O4",
  "functional": "GGA-PBEsol",
  "state": "optimized geometry",
  "sg": "Pna2_1, No. 33",
  "e_tot_ev_per_atom": -5.0536,
  "cell": [[-0.824, -5.940, -1.800], [2.228, 1.465, -5.854], [7.543, -1.781, 2.425]],
  "species": ["Li", "Li", "Li", "Li", "Li", "Li", "Li", "Li", "Cu", "Cu", "Cu", "Cu", "H", "H", "H", "H", "H", "H", "H", "H", "H", "H", "H", "H", "H", "H", "H", "H", "O", "O", "O", "O", "O", "O", "O", "O", "O", "O", "O", "O", "O", "O", "O", "O"],
  "frac_coords": [[0.012, 0.853, 0.743], [0.201, 0.535, 0.975], [0.299, 0.035, 0.475], [0.488, 0.353, 0.243], [0.512, 0.647, 0.743], [0.701, 0.965, 0.975], [0.799, 0.465, 0.475], [0.988, 0.147, 0.243], [0.240, 0.508, 0.504], [0.260, 0.008, 0.004], [0.740, 0.992, 0.504], [0.760, 0.492, 0.004], [0.033, 0.197, 0.592], [0.967, 0.803, 0.092], [0.990, 0.225, 0.922], [0.089, 0.525, 0.240], [0.248, 0.814, 0.252], [0.252, 0.314, 0.752], [0.411, 0.025, 0.740], [0.510, 0.725, 0.422], [0.533, 0.303, 0.592], [0.467, 0.697, 0.092], [0.490, 0.275, 0.922], [0.589, 0.975, 0.240], [0.748, 0.686, 0.252], [0.752, 0.186, 0.752], [0.911, 0.475, 0.740], [0.010, 0.775, 0.422], [0.006, 0.702, 0.528], [0.030, 0.801, 0.981], [0.242, 0.469, 0.742], [0.243, 0.548, 0.262], [0.257, 0.048, 0.762], [0.258, 0.969, 0.242], [0.470, 0.301, 0.481], [0.494, 0.202, 0.028], [0.506, 0.798, 0.528], [0.530, 0.699, 0.981], [0.742, 0.031, 0.742], [0.743, 0.952, 0.262], [0.757, 0.452, 0.762], [0.758, 0.531, 0.242], [0.970, 0.199, 0.481], [0.994, 0.298, 0.028]]
}

=====

7.
{
  "formula": "TcPbBr2",
  "functional": "GGA-PBEsol",
  "state": "optimized geometry",
  "relative_energy_ev_per_fu": 2.14,
  "formation_energy_uncorrected_mev_per_atom": 659,
  "sg": "P4/mmm, No. 123",
  "cell": [[3.600, 0.000, 0.000], [0.000, 5.060, 0.000], [0.000, 0.000, 5.060]],
  "species": ["Pb", "Tc", "Br", "Br"],
  "frac_coords": [[0.500, 0.500, 0.500], [0.500, 0.000, 0.000], [0.000, 0.000, 0.500], [0.000, 0.500, 0.000]]
}

=====

8.
{
  "formula": "Rb2HfClF",
  "functional": "GGA-PBEsol",
  "state": "optimized geometry",
  "formation_energy_uncorrected_mev_per_atom": -344,
  "sg": "P4/mmm, No. 123",
  "cell": [[4.955, 0.000, 0.000], [0.000, 4.955, 0.000], [0.000, 0.000, 6.604]],
  "species": ["F", "Hf", "Rb", "Rb", "Cl"],
  "frac_coords": [[0.000, 0.000, 0.000], [0.500, 0.500, 0.500], [0.000, 0.500, 0.000], [0.500, 0.000, 0.000], [0.000, 0.000, 0.500]]
}

=====

9.
{
  "formula": "K2TlPt2",
  "functional": "GGA-PBEsol",
  "state": "optimized geometry",
  "sg": "P4/mbm, No. 127",
  "formation_energy_ev_per_atom": -0.003,
  "cell": [[-0.488, -5.179, -1.126], [1.691, -1.573, 6.500], [-6.658, 0.238, 1.790]],
  "species": ["Tl", "Tl", "K", "K", "K", "K", "Pt", "Pt", "Pt", "Pt"],
  "frac_coords": [[0.000, 0.000, 0.000], [0.000, 0.500, 0.500], [0.500, 0.171, 0.671], [0.500, 0.671, 0.829], [0.500, 0.829, 0.329], [0.500, 0.329, 0.171], [0.000, 0.370, 0.870], [0.000, 0.870, 0.630], [0.000, 0.630, 0.130], [0.000, 0.130, 0.370]]
}

=====

10.
{
  "formula": "IrRhAu",
  "functional": "GGA-PBEsol",
  "state": "optimized geometry",
  "sg": "Imm2, No. 44",
  "formation_energy_ev_per_atom": 0.272,
  "cell": [[-0.800, 2.534, -0.771], [-2.658, -0.001, 2.758], [4.484, 0.410, 1.662]],
  "species": ["Au", "Ir", "Rh"],
  "frac_coords": [[0.000, 0.000, 0.000], [0.674, 0.674, 0.347], [0.327, 0.327, 0.653]]
}

=====

11.
{
  "formula": "Ta2OsSe",
  "functional": "GGA-PBEsol",
  "state": "optimized geometry",
  "formation_energy_uncorrected_mev_per_atom": 0,
  "sg": "P4/mmm, No. 123",
  "cell": [[-1.590, -1.887, -1.727], [2.933, -3.426, 1.043], [-2.618, -1.132, 3.646]],
  "species": ["Os", "Se", "Ta", "Ta"],
  "frac_coords": [[0.500, 0.500, 0.500], [0.500, 0.000, 0.000], [0.000, 0.000, 0.500], [0.000, 0.500, 0.000]]
}